(1)
# GGA-PBE TaIn2Sn, relaxed
# Calculated total energy = -4.7440 eV/atom
# Crystal system = tetragonal
# Symmetry = I-42d, No. 122
data_TaIn2Sn
_chemical_formula_sum 'Ta2 In4 Sn2'
_symmetry_space_group_name_H-M 'P 1'
_symmetry_Int_Tables_number 1
_cell_length_a 6.5219
_cell_length_b 6.5219
_cell_length_c 6.5219
_cell_angle_alpha 101.38
_cell_angle_beta 101.38
_cell_angle_gamma 127.26
loop_
_symmetry_equiv_pos_as_xyz
'x,y,z'
loop_
_atom_site_label
_atom_site_type_symbol
_atom_site_fract_x
_atom_site_fract_y
_atom_site_fract_z
Ta1 Ta 0.0000 0.0000 0.0000
Ta2 Ta 0.7500 0.2500 0.5000
In1 In 0.1012 0.6250 0.9762
In2 In 0.3750 0.3512 0.4762
In3 In 0.6488 0.1250 0.0238
In4 In 0.8750 0.8988 0.5238
Sn1 Sn 0.2500 0.7500 0.5000
Sn2 Sn 0.5000 0.5000 0.0000

***

(2)
# GGA-PBE CsK3Cr, relaxed
# Calculated total energy = -2.1781 eV/atom
# Crystal system = cubic
# Energy above the most stable polymorph in this dataset = 0.000 eV/atom
# Symmetry = Pm-3m, No. 221
data_CsK3Cr
_chemical_formula_sum 'Cs1 K3 Cr1'
_symmetry_space_group_name_H-M 'P 1'
_symmetry_Int_Tables_number 1
_cell_length_a 6.6174
_cell_length_b 6.6174
_cell_length_c 6.6174
_cell_angle_alpha 90.00
_cell_angle_beta 90.00
_cell_angle_gamma 90.00
loop_
_symmetry_equiv_pos_as_xyz
'x,y,z'
loop_
_atom_site_label
_atom_site_type_symbol
_atom_site_fract_x
_atom_site_fract_y
_atom_site_fract_z
Cs1 Cs 0.0000 0.0000 0.0000
K1 K 0.0000 0.5000 0.5000
K2 K 0.5000 0.0000 0.5000
K3 K 0.5000 0.5000 0.0000
Cr1 Cr 0.5000 0.5000 0.5000

***

Number 1: formation energy from the elements 0.59 eV/atom. Number 2: formation energy from the elements 0.58 eV/atom.